## VIn2PdO (PBE with a Hubbard U)

Data for a geometry-optimized VIn2PdO structure.

```
VIn2PdO
1.0
-4.146 1.538 -1.641
-1.577 -0.019 3.967
1.422 4.459 0.587
O In V Pd
1 2 1 1
direct
0.000 0.000 0.000
0.000 0.000 0.500
0.500 0.000 0.000
0.500 0.500 0.500
0.000 0.500 0.000
```

=====

## InPdW2O (PBE with a Hubbard U)

Data for a geometry-optimized InPdW2O structure.

```
InPdW2O
1.0
-1.066 4.945 -0.501
-2.146 0.000 4.568
4.475 1.177 2.103
W O In Pd
2 1 1 1
direct
0.000 0.000 0.500
0.500 0.000 0.000
0.500 0.500 0.500
0.000 0.500 0.000
0.000 0.000 0.000
```

=====

no.,DOS at the Fermi energy (states/eV/cell),total energy (eV per formula unit)
1,1.64,-22.4
2,2.55,-19.7